No. 1
## Sc2Cd2Se (PBE-GGA)

Data for Sc2Cd2Se after structural relaxation.

Output
formation energy (no corrections) = -0.58 eV/atom

Lattice parameters (Å, degrees): 7.0135 7.0135 4.8175 90.00 90.00 90.00
Closest atoms and distances in Å follow each position.
Element x y z (fractional)
Sc 0.3362 0.8362 0.0000  2 Se 2.62
Sc 0.8362 0.6638 0.0000  2 Se 2.62
Sc 0.6638 0.1638 0.0000  2 Se 2.62
Sc 0.1638 0.3362 0.0000  2 Se 2.62
Se 0.0000 0.0000 0.0000  4 Sc 2.62
Se 0.5000 0.5000 0.0000  4 Sc 2.62
Cd 0.1432 0.6432 0.5000  1 Cd 2.84, 2 Sc 3.08
Cd 0.6432 0.8568 0.5000  1 Cd 2.84, 2 Sc 3.08
Cd 0.8568 0.3568 0.5000  1 Cd 2.84, 2 Sc 3.08
Cd 0.3568 0.1432 0.5000  1 Cd 2.84, 2 Sc 3.08


No. 2
## ScCdSe (PBE-GGA)

Data for ScCdSe after structural relaxation.

Output
E above lowest polymorph = 460 meV/atom
formation energy (no corrections) = -0.32 eV/atom

Lattice parameters (Å, degrees): 4.7519 4.7519 4.7519 60.00 60.00 60.00
Closest atoms and distances in Å follow each position.
Element x y z (fractional)
Cd 0.0000 0.0000 0.0000  4 Se 2.91
Sc 0.5000 0.5000 0.5000  4 Se 2.91
Se 0.7500 0.7500 0.7500  4 Cd 2.91, 4 Sc 2.91